[1]
The following is a PBE-GGA calculation of an optimized crystal structure of La4PdAuBr2, from the Alexandria database.

a = 7.5083 Å, b = 4.3375 Å, c = 7.9815 Å
α = 90.00°, β = 108.17°, γ = 90.00°
Last column: nearest neighbours and their distance in Å.
Space group P2/m (No. 10)
Unique sites:
La 0.2344 0.0000 0.2178 [2 per cell]  2 Pd 2.99, 1 Au 3.03, 3 Br 3.26-3.31
La 0.2507 0.5000 0.7783 [2 per cell]  1 Pd 2.96, 2 Au 3.05, 2 Br 3.25
Pd 0.0000 0.5000 0.0000 [1 per cell]  6 La 2.96-2.99
Au 0.5000 0.0000 0.0000 [1 per cell]  6 La 3.03-3.05
Br 0.0000 0.0000 0.5000 [1 per cell]  6 La 3.25-3.26
Br 0.5000 0.5000 0.5000 [1 per cell]  6 La 3.31-3.32

- energy relative to the elements, uncorrected (eV/atom) = -1.05
- N(E_F) (states/eV per cell) = 9.59



[2]
The following is a PBE-GGA calculation of an optimized crystal structure of LaPmAuBr, from the Alexandria database.

a = 7.5246 Å, b = 7.5246 Å, c = 7.5246 Å
α = 90.00°, β = 90.00°, γ = 90.00°
Last column: nearest neighbours and their distance in Å.
Space group F-43m (No. 216)
Unique sites:
La 0.0000 0.0000 0.0000 [4 per cell]  4 Au 3.26, 4 Br 3.26
Pm 0.0000 0.0000 0.5000 [4 per cell]  4 Br 3.26, 4 Au 3.26
Au 0.2500 0.2500 0.2500 [4 per cell]  4 La 3.26, 4 Pm 3.26
Br 0.2500 0.2500 0.7500 [4 per cell]  4 La 3.26, 4 Pm 3.26

- energy relative to the elements, uncorrected (eV/atom) = -0.81
- N(E_F) (states/eV per cell) = 21.53



[3]
The following is a PBE-GGA calculation of an optimized crystal structure of La6PtAu2Br3, from the Alexandria database.

a = 19.6689 Å, b = 4.3504 Å, c = 9.1186 Å
α = 90.00°, β = 107.11°, γ = 90.00°
Last column: nearest neighbours and their distance in Å.
Space group C2/m (No. 12)
Unique sites:
La 0.0046 0.0000 0.2243 [4 per cell]  2 Pt 2.97, 1 Au 3.05, 1 Br 3.32
La 0.1544 0.5000 0.0955 [4 per cell]  1 Pt 2.90, 2 Au 3.06
La 0.1724 0.5000 0.5749 [4 per cell]  3 Au 3.03-3.05, 3 Br 3.24-3.26
Pt 0.0000 0.5000 0.0000 [2 per cell]  6 La 2.90-2.97
Au 0.1667 0.0000 0.3374 [4 per cell]  6 La 3.03-3.06
Br 0.0000 0.5000 0.5000 [2 per cell]  6 La 3.26-3.35
Br 0.1702 0.0000 0.8372 [4 per cell]  6 La 3.24-3.32

- energy relative to the elements, uncorrected (eV/atom) = -1.14
- N(E_F) (states/eV per cell) = 24.25



[4]
The following is a PBE-GGA calculation of an optimized crystal structure of Rb2LaAuBr6, from the Alexandria database.

a = 8.0821 Å, b = 8.0821 Å, c = 11.8647 Å
α = 90.00°, β = 90.00°, γ = 90.00°
Last column: nearest neighbours and their distance in Å.
Space group I4/mmm (No. 139)
Unique sites:
Rb 0.0000 0.5000 0.2500 [4 per cell]  12 Br 4.04-4.12
La 0.0000 0.0000 0.0000 [2 per cell]  6 Br 2.92
Au 0.0000 0.0000 0.5000 [2 per cell]  6 Br 2.79-3.01
Br 0.0000 0.0000 0.2460 [4 per cell]  1 La 2.92, 1 Au 3.01
Br 0.2444 0.2444 0.5000 [8 per cell]  1 Au 2.79, 1 La 2.92

- energy relative to the elements, uncorrected (eV/atom) = -1.43
- N(E_F) (states/eV per cell) = 0.00



[5]
The following is a PBE-GGA calculation of an optimized crystal structure of La4RhAuBr2, from the Alexandria database.

a = 7.4652 Å, b = 4.2999 Å, c = 8.2274 Å
α = 90.00°, β = 107.54°, γ = 90.00°
Last column: nearest neighbours and their distance in Å.
Space group P2/m (No. 10)
Unique sites:
La 0.2263 0.0000 0.2020 [2 per cell]  2 Rh 2.92, 1 Au 3.00
La 0.2445 0.5000 0.7968 [2 per cell]  1 Rh 2.82, 2 Au 3.02
Rh 0.0000 0.5000 0.0000 [1 per cell]  6 La 2.82-2.92
Au 0.5000 0.0000 0.0000 [1 per cell]  6 La 3.00-3.02
Br 0.0000 0.0000 0.5000 [1 per cell]  6 La 3.35-3.37
Br 0.5000 0.5000 0.5000 [1 per cell]  6 La 3.43-3.52

- energy relative to the elements, uncorrected (eV/atom) = -1.11
- N(E_F) (states/eV per cell) = 7.18



[6]
The following is a PBE-GGA calculation of an optimized crystal structure of La8Ru3AuBr4, from the Alexandria database.

a = 8.4322 Å, b = 8.4322 Å, c = 23.7687 Å
α = 90.00°, β = 90.00°, γ = 120.00°
Last column: nearest neighbours and their distance in Å.
Space group R-3m (No. 166, hexagonal axes)
Unique sites:
La 0.0000 0.0000 0.2335 [6 per cell]  3 Ru 2.91
La 0.0192 0.5096 0.7679 [18 per cell]  2 Ru 2.83, 1 Au 3.01
Ru 0.0000 0.5000 0.5000 [9 per cell]  6 La 2.83-2.91
Au 0.0000 0.0000 0.5000 [3 per cell]  6 La 3.01
Br 0.0000 0.0000 0.0000 [3 per cell]  6 La 3.32
Br 0.0000 0.5000 0.0000 [9 per cell]  6 La 3.40-3.48

- energy relative to the elements, uncorrected (eV/atom) = -0.99
- N(E_F) (states/eV per cell) = 20.80



[7]
The following is a PBE-GGA calculation of an optimized crystal structure of La6AuS2Br3, from the Alexandria database.

a = 7.2457 Å, b = 12.5547 Å, c = 7.9243 Å
α = 90.00°, β = 107.51°, γ = 90.00°
Last column: nearest neighbours and their distance in Å.
Space group C2/m (No. 12)
Unique sites:
La 0.2219 0.0000 0.2141 [4 per cell]  2 S 2.87, 1 Au 3.00, 1 Br 3.15
La 0.2477 0.3247 0.2183 [8 per cell]  2 S 2.87, 1 Au 3.03, 1 Br 3.19
Au 0.0000 0.5000 0.0000 [2 per cell]  6 La 3.00-3.03
S 0.0000 0.1676 0.0000 [4 per cell]  6 La 2.87
Br 0.0000 0.0000 0.5000 [2 per cell]  6 La 3.15-3.27
Br 0.0000 0.3406 0.5000 [4 per cell]  6 La 3.19-3.26

- energy relative to the elements, uncorrected (eV/atom) = -1.52
- N(E_F) (states/eV per cell) = 20.08



[8]
The following is a PBE-GGA calculation of an optimized crystal structure of La4AuS2Br, from the Alexandria database.

a = 7.3809 Å, b = 4.2004 Å, c = 7.5143 Å
α = 90.00°, β = 108.89°, γ = 90.00°
Last column: nearest neighbours and their distance in Å.
Space group P2/m (No. 10)
Unique sites:
La 0.2371 0.0000 0.2215 [2 per cell]  3 S 2.89-2.94, 1 Au 3.13, 2 Br 3.15
La 0.2527 0.5000 0.7688 [2 per cell]  3 S 2.93-2.95, 2 Au 3.09, 1 Br 3.13
Au 0.0000 0.0000 0.5000 [1 per cell]  6 La 3.09-3.13
S 0.0000 0.5000 0.0000 [1 per cell]  6 La 2.89-2.93
S 0.5000 0.0000 0.0000 [1 per cell]  6 La 2.94-2.95
Br 0.5000 0.5000 0.5000 [1 per cell]  6 La 3.13-3.15

- energy relative to the elements, uncorrected (eV/atom) = -1.60
- N(E_F) (states/eV per cell) = 6.04



[9]
The following is a PBE-GGA calculation of an optimized crystal structure of La4AuSeBr2, from the Alexandria database.

a = 7.5687 Å, b = 4.3432 Å, c = 7.6600 Å
α = 90.00°, β = 109.29°, γ = 90.00°
Last column: nearest neighbours and their distance in Å.
Space group P2/m (No. 10)
Unique sites:
La 0.2331 0.0000 0.2386 [2 per cell]  2 Se 3.01, 1 Au 3.08, 3 Br 3.14-3.18
La 0.2336 0.5000 0.7434 [2 per cell]  2 Au 3.02, 1 Se 3.05, 3 Br 3.17
Au 0.0000 0.0000 0.5000 [1 per cell]  6 La 3.02-3.08
Se 0.0000 0.5000 0.0000 [1 per cell]  6 La 3.01-3.05
Br 0.5000 0.0000 0.0000 [1 per cell]  6 La 3.14-3.17
Br 0.5000 0.5000 0.5000 [1 per cell]  6 La 3.17-3.18

- energy relative to the elements, uncorrected (eV/atom) = -1.35
- N(E_F) (states/eV per cell) = 6.57



[10]
The following is a PBE-GGA calculation of an optimized crystal structure of LaAuSeBr2, from the Alexandria database.

a = 5.6648 Å, b = 5.6648 Å, c = 4.9501 Å
α = 90.00°, β = 90.00°, γ = 90.00°
Last column: nearest neighbours and their distance in Å.
Space group P4/mmm (No. 123)
Unique sites:
La 0.0000 0.0000 0.0000 [1 per cell]  8 Br 3.76, 4 Au 4.01
Au 0.5000 0.5000 0.0000 [1 per cell]  2 Se 2.48
Se 0.5000 0.5000 0.5000 [1 per cell]  2 Au 2.48
Br 0.0000 0.5000 0.5000 [2 per cell]  2 Se 2.83

- energy relative to the elements, uncorrected (eV/atom) = -0.19
- N(E_F) (states/eV per cell) = 7.34
- polymorph energy (0 for the lowest one) (eV per atom) = 0.470



[11]
The following is a PBE-GGA calculation of an optimized crystal structure of LaAuSeBr2, from the Alexandria database.

a = 5.7475 Å, b = 5.7475 Å, c = 5.9471 Å
α = 90.00°, β = 90.00°, γ = 90.00°
Last column: nearest neighbours and their distance in Å.
Space group P4/mmm (No. 123)
Unique sites:
La 0.0000 0.0000 0.0000 [1 per cell]  4 Br 2.87, 2 Se 2.97
Au 0.5000 0.5000 0.5000 [1 per cell]  4 Se 4.06, 8 Br 4.14
Se 0.0000 0.0000 0.5000 [1 per cell]  2 La 2.97
Br 0.0000 0.5000 0.0000 [2 per cell]  2 La 2.87

- energy relative to the elements, uncorrected (eV/atom) = -0.66
- N(E_F) (states/eV per cell) = 3.84
- polymorph energy (0 for the lowest one) (eV per atom) = 0.000



[12]
The following is a PBE-GGA calculation of an optimized crystal structure of LaAuSeBr2, from the Alexandria database.

a = 5.2864 Å, b = 5.2864 Å, c = 5.2622 Å
α = 90.00°, β = 90.00°, γ = 90.00°
Last column: nearest neighbours and their distance in Å.
Space group P4/mmm (No. 123)
Unique sites:
La 0.0000 0.0000 0.0000 [1 per cell]  8 Br 3.73, 4 Se 3.74
Au 0.5000 0.5000 0.5000 [1 per cell]  2 Se 2.63, 4 Br 2.64
Se 0.5000 0.5000 0.0000 [1 per cell]  2 Au 2.63
Br 0.0000 0.5000 0.5000 [2 per cell]  2 Au 2.64

- energy relative to the elements, uncorrected (eV/atom) = -0.57
- N(E_F) (states/eV per cell) = 6.35
- polymorph energy (0 for the lowest one) (eV per atom) = 0.093



Repeat the third record exactly.
The following is a PBE-GGA calculation of an optimized crystal structure of La6PtAu2Br3, from the Alexandria database.

a = 19.6689 Å, b = 4.3504 Å, c = 9.1186 Å
α = 90.00°, β = 107.11°, γ = 90.00°
Last column: nearest neighbours and their distance in Å.
Space group C2/m (No. 12)
Unique sites:
La 0.0046 0.0000 0.2243 [4 per cell]  2 Pt 2.97, 1 Au 3.05, 1 Br 3.32
La 0.1544 0.5000 0.0955 [4 per cell]  1 Pt 2.90, 2 Au 3.06
La 0.1724 0.5000 0.5749 [4 per cell]  3 Au 3.03-3.05, 3 Br 3.24-3.26
Pt 0.0000 0.5000 0.0000 [2 per cell]  6 La 2.90-2.97
Au 0.1667 0.0000 0.3374 [4 per cell]  6 La 3.03-3.06
Br 0.0000 0.5000 0.5000 [2 per cell]  6 La 3.26-3.35
Br 0.1702 0.0000 0.8372 [4 per cell]  6 La 3.24-3.32

- energy relative to the elements, uncorrected (eV/atom) = -1.14
- N(E_F) (states/eV per cell) = 24.25



Which of these has the highest energy relative to the elements, uncorrected? number 10